A plane-wave DFT calculation with PBE-GGA was carried out for Sr4HoIn5 after structural relaxation.

## Properties
energy	-29.3	eV for the cell shown
total magnetization	0.000	μB per atom
formation energy	-0.426	eV per atom
crystal system	tetragonal

Unit cell a=3.9870 b=3.9870 c=20.1815 alpha=90.00 beta=90.00 gamma=90.00
Closest atoms and distances in Å follow each position.
Atoms (fractional coordinates):
Sr1 0.0000 0.0000 0.1030  8 In 3.49-3.50
Sr2 0.0000 0.0000 0.3082  8 In 3.51-3.56, 1 Ho 3.87
Sr3 0.0000 0.0000 0.6918  8 In 3.51-3.56, 1 Ho 3.87
Sr4 0.0000 0.0000 0.8970  8 In 3.49-3.50
Ho1 0.0000 0.0000 0.5000  8 In 3.29
In1 0.5000 0.5000 0.0000  8 Sr 3.50
In2 0.5000 0.5000 0.2047  8 Sr 3.49-3.51
In3 0.5000 0.5000 0.4158  4 Ho 3.29, 1 In 3.40, 4 Sr 3.56
In4 0.5000 0.5000 0.5842  4 Ho 3.29, 1 In 3.40, 4 Sr 3.56
In5 0.5000 0.5000 0.7953  8 Sr 3.49-3.51